Entry 1:
The following is a DFT calculation (PBE-GGA) of an optimized crystal structure of NdSmI3N.

Results
ρ: 5242 kg/m3
magnetic moment: 0.0 μB/cell
uncorrected energy: -0.1915 hartree per atom
energy above the lowest structure with this stoichiometry: 0.0 meV/atom

Structure (extended XYZ):
```
12
Lattice="10.2737 -2.0522 0.0000 10.2737 2.0522 0.0000 -7.6583 0.0000 10.3566" Properties=species:S:1:pos:R:3 pbc="T T T"
Nd 0.6083 0.0000 2.8342
Nd 12.2807 0.0000 7.5224
Sm 8.5977 0.0000 0.3773
Sm 4.2913 0.0000 9.9794
I -5.0189 0.0000 7.7604
I 3.4619 0.0000 1.2681
I 3.0353 0.0000 5.1011
I 9.8538 0.0000 5.2555
I 9.4271 0.0000 9.0885
I 17.9080 0.0000 2.5962
N 2.2773 0.0000 8.8416
N 10.6118 0.0000 1.5150
```

=====

Entry 2:
The following is a DFT calculation (PBE-GGA) of an optimized crystal structure of Sr3NdI2N2.

Results
ρ: 5469 kg/m3
magnetic moment: 0.4 μB/cell
uncorrected energy: -0.1757 hartree per atom

Structure (extended XYZ):
```
8
Lattice="3.9487 0.0000 0.0000 -1.9743 3.4197 0.0000 0.0000 0.0000 15.4914" Properties=species:S:1:pos:R:3 pbc="T T T"
Sr 0.0000 0.0000 0.0000
Sr 0.0000 0.0000 5.0984
Sr 0.0000 2.2798 7.7742
Nd 0.0000 2.2798 12.8596
I 0.0000 0.0000 10.4071
I 0.0000 2.2798 2.5102
N 1.9744 1.1399 6.4464
N 1.9744 1.1399 13.9562
```

=====

Entry 3:
The following is a DFT calculation (PBE-GGA) of an optimized crystal structure of SrNd3I2N2.

Results
ρ: 6836 kg/m3
magnetic moment: 0.1 μB/cell
uncorrected energy: -0.2066 hartree per atom

Structure (extended XYZ):
```
8
Lattice="3.8350 0.0000 0.0000 -1.9175 3.3212 0.0000 0.0000 0.0000 15.2989" Properties=species:S:1:pos:R:3 pbc="T T T"
Sr 0.0000 0.0000 0.0000
Nd 0.0000 0.0000 5.0389
Nd 0.0000 2.2142 7.6125
Nd 0.0000 2.2142 12.5916
I 0.0000 0.0000 10.0947
I 0.0000 2.2142 2.5805
N 1.9175 1.1071 6.3054
N 1.9175 1.1071 13.7907
```

=====

Entry 4:
The following is a DFT calculation (PBE-GGA) of an optimized crystal structure of Nd2Tm2I5N.

Results
ρ: 6382 kg/m3
magnetic moment: 0.0 μB/cell
uncorrected energy: -0.1737 hartree per atom

Structure (extended XYZ):
```
10
Lattice="9.8251 -1.9774 0.0000 9.8251 1.9774 0.0000 -1.8716 0.0000 8.5376" Properties=species:S:1:pos:R:3 pbc="T T T"
Nd -0.5631 0.0000 2.6148
Nd 18.3417 0.0000 5.9228
Tm 6.6637 0.0000 3.7700
Tm 11.1150 0.0000 4.7675
I 1.6870 0.0000 7.0244
I 2.6324 0.0000 2.8918
I 9.8251 0.0000 0.0000
I 15.1463 0.0000 5.6458
I 16.0917 0.0000 1.5132
N 8.8893 0.0000 4.2688
```

=====

Which value of uncorrected energy does entry 3 give? -0.2066 hartree per atom

=====

Repeat the fourth record exactly.
The following is a DFT calculation (PBE-GGA) of an optimized crystal structure of Nd2Tm2I5N.

Results
ρ: 6382 kg/m3
magnetic moment: 0.0 μB/cell
uncorrected energy: -0.1737 hartree per atom

Structure (extended XYZ):
```
10
Lattice="9.8251 -1.9774 0.0000 9.8251 1.9774 0.0000 -1.8716 0.0000 8.5376" Properties=species:S:1:pos:R:3 pbc="T T T"
Nd -0.5631 0.0000 2.6148
Nd 18.3417 0.0000 5.9228
Tm 6.6637 0.0000 3.7700
Tm 11.1150 0.0000 4.7675
I 1.6870 0.0000 7.0244
I 2.6324 0.0000 2.8918
I 9.8251 0.0000 0.0000
I 15.1463 0.0000 5.6458
I 16.0917 0.0000 1.5132
N 8.8893 0.0000 4.2688
```